Entry 1:
## BeCr4Pt (GGA-PBE)

Data for BeCr4Pt after structural relaxation. Values from VASP.

Geometry as Quantum ESPRESSO input:
```
&SYSTEM
  ibrav = 0, nat = 6, ntyp = 3
/
ATOMIC_SPECIES
Be 9.01 Be.upf
Cr 52.00 Cr.upf
Pt 195.08 Pt.upf
ATOMIC_POSITIONS angstrom
Be 0.0000 0.0000 0.0000
Cr 2.4731 2.4731 2.4731
Cr 4.1762 4.1762 2.4731
Cr 4.1762 2.4731 4.1762
Cr 2.4731 4.1762 4.1762
Pt 4.9870 4.9870 4.9870
CELL_PARAMETERS angstrom
0.0000 3.3246 3.3246
3.3246 0.0000 3.3246
3.3246 3.3246 0.0000
```

Total magnetization ... 0.000 μB/atom
Energy relative to the elements ... 0.165 eV per atom

Entry 2:
## Dy2Tl3VS6 (GGA-PBE)

Data for Dy2Tl3VS6 after structural relaxation. Values from VASP.

Geometry as Quantum ESPRESSO input:
```
&SYSTEM
  ibrav = 0, nat = 12, ntyp = 4
/
ATOMIC_SPECIES
Dy 162.50 Dy.upf
Tl 204.38 Tl.upf
V 50.94 V.upf
S 32.06 S.upf
ATOMIC_POSITIONS angstrom
Dy 3.3712 3.8823 0.0000
Dy 3.3712 -3.8823 0.0000
Tl -1.1228 0.0000 3.7456
Tl 2.2484 2.0026 3.7456
Tl 2.2484 -2.0026 3.7456
V 3.3712 0.0000 0.0000
S 0.0892 1.7818 6.0717
S 1.2850 0.0000 1.4822
S 0.0892 -1.7818 6.0717
S 4.4076 1.7818 1.4195
S 3.2118 0.0000 6.0090
S 4.4076 -1.7818 1.4195
CELL_PARAMETERS angstrom
3.3712 -5.8145 0.0000
3.3712 5.8145 0.0000
-2.2457 0.0000 7.4911
```

E_form (uncorrected) ... -1.17 eV per atom
Total magnetization ... 0.167 μB/atom

Entry 3:
## EuDyIrRh (GGA-PBE)

Data for EuDyIrRh after structural relaxation. Values from VASP.

Geometry as Quantum ESPRESSO input:
```
&SYSTEM
  ibrav = 0, nat = 4, ntyp = 4
/
ATOMIC_SPECIES
Eu 151.96 Eu.upf
Dy 162.50 Dy.upf
Ir 192.22 Ir.upf
Rh 102.91 Rh.upf
ATOMIC_POSITIONS angstrom
Eu 0.0000 0.0000 0.0000
Dy 3.4635 3.4635 3.4635
Ir 5.1953 5.1953 5.1953
Rh 1.7318 1.7318 1.7318
CELL_PARAMETERS angstrom
0.0000 3.4635 3.4635
3.4635 0.0000 3.4635
3.4635 3.4635 0.0000
```

Total magnetization ... 1.645 μB/atom
Energy relative to the elements ... -0.544 eV per atom

Entry 4:
## TbPm2Y6Tm (GGA-PBE)

Data for TbPm2Y6Tm after structural relaxation. Values from VASP.

Geometry as Quantum ESPRESSO input:
```
&SYSTEM
  ibrav = 0, nat = 20, ntyp = 4
/
ATOMIC_SPECIES
Tb 158.93 Tb.upf
Pm 145.00 Pm.upf
Y 88.91 Y.upf
Tm 168.93 Tm.upf
ATOMIC_POSITIONS angstrom
Tb 3.3507 7.2305 7.2046
Tb 4.1426 -7.2305 2.4015
Pm 1.3659 0.7572 5.2325
Pm 2.1578 -0.7572 0.4294
Pm 5.3355 0.7572 9.1767
Pm 6.1275 -0.7572 4.3736
Y 1.5963 4.1828 6.5920
Y 3.8619 4.6896 0.5453
Y 4.4234 4.6896 4.2578
Y 2.2236 1.5748 8.4725
Y 5.1051 4.1828 7.8172
Y 4.4778 1.5748 5.9366
Y 3.0155 -1.5748 3.6695
Y 2.3882 -4.1828 1.7890
Y 5.2698 -1.5748 1.1336
Y 3.0699 -4.6896 5.3484
Y 3.6315 -4.6896 9.0608
Y 5.8970 -4.1828 3.0141
Tm 4.1426 1.3980 2.4015
Tm 3.3507 -1.3980 7.2046
CELL_PARAMETERS angstrom
4.5386 -7.5198 0.0000
4.5386 7.5198 0.0000
-1.5839 0.0000 9.6061
```

Total magnetization ... 0.000 μB/atom
Energy relative to the elements ... 0.112 eV per atom

Entry 5:
## BaLiGaPd2 (GGA-PBE)

Data for BaLiGaPd2 after structural relaxation. Values from VASP.

Geometry as Quantum ESPRESSO input:
```
&SYSTEM
  ibrav = 0, nat = 5, ntyp = 4
/
ATOMIC_SPECIES
Ba 137.33 Ba.upf
Li 6.94 Li.upf
Ga 69.72 Ga.upf
Pd 106.42 Pd.upf
ATOMIC_POSITIONS angstrom
Ba 0.0000 0.0000 0.0000
Li 2.4650 2.4650 0.0000
Ga 2.4650 2.4650 2.4042
Pd 0.0000 2.4650 2.4042
Pd 2.4650 0.0000 2.4042
CELL_PARAMETERS angstrom
4.9299 0.0000 0.0000
0.0000 4.9299 0.0000
0.0000 0.0000 4.8085
```

Total magnetization ... 0.000 μB/atom
Energy relative to the elements ... -0.364 eV per atom

Entry 6:
## CeTm (GGA-PBE)

Data for CeTm after structural relaxation. Values from VASP.

Geometry as Quantum ESPRESSO input:
```
&SYSTEM
  ibrav = 0, nat = 4, ntyp = 2
/
ATOMIC_SPECIES
Ce 140.12 Ce.upf
Tm 168.93 Tm.upf
ATOMIC_POSITIONS angstrom
Ce 0.9446 0.0000 2.0223
Ce 8.4082 0.0000 2.8198
Tm 4.2417 0.0000 0.6633
Tm 5.1111 0.0000 4.1788
CELL_PARAMETERS angstrom
5.9293 -2.0879 0.0000
5.9293 2.0879 0.0000
-2.5057 0.0000 4.8421
```

Total magnetization ... 0.029 μB/atom
Energy relative to the elements ... 0.081 eV per atom

Entry 7:
## NpPdRhPb (GGA-PBE)

Data for NpPdRhPb after structural relaxation. Values from VASP.

Geometry as Quantum ESPRESSO input:
```
&SYSTEM
  ibrav = 0, nat = 4, ntyp = 4
/
ATOMIC_SPECIES
Np 237.00 Np.upf
Pd 106.42 Pd.upf
Rh 102.91 Rh.upf
Pb 207.20 Pb.upf
ATOMIC_POSITIONS angstrom
Np 0.0000 0.0000 0.0000
Pd 5.1386 5.1386 5.1386
Rh 1.7129 1.7129 1.7129
Pb 3.4258 3.4258 3.4258
CELL_PARAMETERS angstrom
0.0000 3.4258 3.4258
3.4258 0.0000 3.4258
3.4258 3.4258 0.0000
```

Total magnetization ... 0.892 μB/atom
Energy relative to the elements ... -0.160 eV per atom

Entry 8:
## MnNiCl2 (GGA-PBE)

Data for MnNiCl2 after structural relaxation. Values from VASP.

Geometry as Quantum ESPRESSO input:
```
&SYSTEM
  ibrav = 0, nat = 4, ntyp = 3
/
ATOMIC_SPECIES
Mn 54.94 Mn.upf
Ni 58.69 Ni.upf
Cl 35.45 Cl.upf
ATOMIC_POSITIONS angstrom
Mn 0.0000 0.0000 0.0000
Ni 1.6842 1.6842 0.9818
Cl 0.0000 0.0000 2.3385
Cl 1.6842 1.6842 5.5951
CELL_PARAMETERS angstrom
3.3684 0.0000 0.0000
0.0000 3.3684 0.0000
0.0000 0.0000 6.8589
```

E_form (uncorrected) ... -0.29 eV per atom
Total magnetization ... 1.261 μB/atom

Entry 9:
## Zr4CrI2 (GGA-PBE)

Data for Zr4CrI2 after structural relaxation. Values from VASP.

Geometry as Quantum ESPRESSO input:
```
&SYSTEM
  ibrav = 0, nat = 7, ntyp = 3
/
ATOMIC_SPECIES
Zr 91.22 Zr.upf
Cr 52.00 Cr.upf
I 126.90 I.upf
ATOMIC_POSITIONS angstrom
Zr 2.4905 0.0000 0.0000
Zr 0.0000 0.0000 2.3665
Zr 0.0000 2.4905 0.0000
Zr 0.0000 0.0000 12.3586
Cr 0.0000 0.0000 0.0000
I 0.0000 0.0000 5.4265
I 0.0000 0.0000 9.2987
CELL_PARAMETERS angstrom
-2.4905 2.4905 7.3626
2.4905 -2.4905 7.3626
2.4905 2.4905 -7.3626
```

E_form (uncorrected) ... 0.43 eV per atom
Total magnetization ... 0.000 μB/atom

Entry 10:
## Ce2Si4Ni5 (GGA-PBE)

Data for Ce2Si4Ni5 after structural relaxation. Values from VASP.

Geometry as Quantum ESPRESSO input:
```
&SYSTEM
  ibrav = 0, nat = 11, ntyp = 3
/
ATOMIC_SPECIES
Ce 140.12 Ce.upf
Si 28.09 Si.upf
Ni 58.69 Ni.upf
ATOMIC_POSITIONS angstrom
Ce 2.7611 4.6404 1.8257
Ce 2.7611 4.6404 11.3135
Si 2.7611 3.2854 4.8016
Si 2.7611 3.2854 8.3376
Si 2.7611 5.9953 4.8016
Si 2.7611 5.9953 8.3376
Ni 1.3806 2.3202 0.0000
Ni 1.3806 2.3202 3.2848
Ni 1.3806 2.3202 6.5696
Ni 2.7611 4.6404 6.5696
Ni 4.1417 6.9605 9.8544
CELL_PARAMETERS angstrom
0.0000 4.6404 6.5696
2.7611 0.0000 6.5696
2.7611 4.6404 0.0000
```

E_form (uncorrected) ... -0.65 eV per atom
Total magnetization ... 0.066 μB/atom

Entry 11:
## Rb2TlHg4 (GGA-PBE)

Data for Rb2TlHg4 after structural relaxation. Values from VASP.

Geometry as Quantum ESPRESSO input:
```
&SYSTEM
  ibrav = 0, nat = 14, ntyp = 3
/
ATOMIC_SPECIES
Rb 85.47 Rb.upf
Tl 204.38 Tl.upf
Hg 200.59 Hg.upf
ATOMIC_POSITIONS angstrom
Rb -0.2551 1.8378 4.0717
Rb 1.8008 5.5134 0.2153
Rb 2.4495 1.8378 9.8849
Rb 4.5053 5.5134 6.0285
Tl -1.1211 1.8378 7.9096
Tl 5.3713 5.5134 2.1906
Hg 1.6623 1.8378 0.9487
Hg 1.0643 5.5134 4.1497
Hg 1.0271 3.8979 6.9731
Hg 1.0271 7.1290 6.9731
Hg 3.2231 0.2223 3.1271
Hg 3.2231 3.4534 3.1271
Hg 3.1859 1.8378 5.9505
Hg 2.5879 5.5134 9.1515
CELL_PARAMETERS angstrom
6.8570 0.0000 0.0000
0.0000 7.3512 0.0000
-2.6067 0.0000 10.1002
```

Total magnetization ... 0.000 μB/atom
Energy relative to the elements ... -0.203 eV per atom

Entry 12:
## KYAu2 (GGA-PBE)

Data for KYAu2 after structural relaxation. Values from VASP.

Geometry as Quantum ESPRESSO input:
```
&SYSTEM
  ibrav = 0, nat = 4, ntyp = 3
/
ATOMIC_SPECIES
K 39.10 K.upf
Y 88.91 Y.upf
Au 196.97 Au.upf
ATOMIC_POSITIONS angstrom
K 0.0000 0.0000 0.0000
Y 2.4607 0.0000 8.3990
Au 0.0000 0.0000 3.0974
Au 2.4607 0.0000 4.9299
CELL_PARAMETERS angstrom
4.9214 0.0000 0.0000
0.0000 1.9049 5.7830
0.0000 -1.9049 5.7830
```

Total magnetization ... 0.000 μB/atom
Energy relative to the elements ... -0.414 eV per atom

Entry 13:
## BaTaMn2 (GGA-PBE)

Data for BaTaMn2 after structural relaxation. Values from VASP.

Geometry as Quantum ESPRESSO input:
```
&SYSTEM
  ibrav = 0, nat = 4, ntyp = 3
/
ATOMIC_SPECIES
Ba 137.33 Ba.upf
Ta 180.95 Ta.upf
Mn 54.94 Mn.upf
ATOMIC_POSITIONS angstrom
Ba 0.0000 0.0000 0.0000
Ta 1.5504 1.5504 5.6245
Mn 0.0000 0.0000 3.8885
Mn 1.5504 1.5504 2.7867
CELL_PARAMETERS angstrom
3.1007 0.0000 0.0000
0.0000 3.1007 0.0000
0.0000 0.0000 8.6465
```

Total magnetization ... 0.080 μB/atom
Energy relative to the elements ... 0.664 eV per atom

Entry 14:
## TbIn7 (GGA-PBE)

Data for TbIn7 after structural relaxation. Values from VASP.

Geometry as Quantum ESPRESSO input:
```
&SYSTEM
  ibrav = 0, nat = 8, ntyp = 2
/
ATOMIC_SPECIES
Tb 158.93 Tb.upf
In 114.82 In.upf
ATOMIC_POSITIONS angstrom
Tb 0.0000 0.0000 0.0000
In 2.3604 2.3604 0.0000
In 2.3604 0.0000 2.3604
In 4.7209 2.3604 2.3604
In 0.0000 2.3604 2.3604
In 2.3604 4.7209 2.3604
In 2.3604 2.3604 4.7209
In 4.7209 4.7209 4.7209
CELL_PARAMETERS angstrom
0.0000 4.7209 4.7209
4.7209 0.0000 4.7209
4.7209 4.7209 0.0000
```

Total magnetization ... 0.000 μB/atom
Energy relative to the elements ... -0.169 eV per atom

Entry 15:
## CrGaMo2 (GGA-PBE)

Data for CrGaMo2 after structural relaxation. Values from VASP.

Geometry as Quantum ESPRESSO input:
```
&SYSTEM
  ibrav = 0, nat = 4, ntyp = 3
/
ATOMIC_SPECIES
Cr 52.00 Cr.upf
Ga 69.72 Ga.upf
Mo 95.94 Mo.upf
ATOMIC_POSITIONS angstrom
Cr 0.0000 0.0000 0.0000
Ga 0.0000 0.0000 12.5410
Mo 0.0000 0.0000 6.4255
Mo 0.0000 0.0000 18.6564
CELL_PARAMETERS angstrom
1.4395 0.8311 8.3606
-1.4395 0.8311 8.3606
0.0000 -1.6622 8.3606
```

Total magnetization ... 0.000 μB/atom
Energy relative to the elements ... 0.230 eV per atom

Entry 16:
## ScCuSe2Br (GGA-PBE)

Data for ScCuSe2Br after structural relaxation. Values from VASP.

Geometry as Quantum ESPRESSO input:
```
&SYSTEM
  ibrav = 0, nat = 5, ntyp = 4
/
ATOMIC_SPECIES
Sc 44.96 Sc.upf
Cu 63.55 Cu.upf
Se 78.96 Se.upf
Br 79.90 Br.upf
ATOMIC_POSITIONS angstrom
Sc 0.0000 0.0000 0.0000
Cu 2.5817 2.5817 2.6272
Se 0.0000 2.5817 0.0000
Se 2.5817 0.0000 0.0000
Br 0.0000 0.0000 2.6272
CELL_PARAMETERS angstrom
5.1635 0.0000 0.0000
0.0000 5.1635 0.0000
0.0000 0.0000 5.2543
```

E_form (uncorrected) ... -0.27 eV per atom
Total magnetization ... 0.000 μB/atom

Entry 17:
## Ge3MoPd (GGA-PBE)

Data for Ge3MoPd after structural relaxation. Values from VASP.

Geometry as Quantum ESPRESSO input:
```
&SYSTEM
  ibrav = 0, nat = 5, ntyp = 3
/
ATOMIC_SPECIES
Ge 72.64 Ge.upf
Mo 95.94 Mo.upf
Pd 106.42 Pd.upf
ATOMIC_POSITIONS angstrom
Ge 0.0000 0.0000 2.4197
Ge 0.0000 2.4197 0.0000
Ge 2.4197 0.0000 0.0000
Mo 0.0000 0.0000 0.0000
Pd 2.4197 2.4197 2.4197
CELL_PARAMETERS angstrom
4.8394 0.0000 0.0000
0.0000 4.8394 0.0000
0.0000 0.0000 4.8394
```

Total magnetization ... 0.000 μB/atom
Energy relative to the elements ... 0.536 eV per atom

Entry 18:
## Pm4CdTe2As (GGA-PBE)

Data for Pm4CdTe2As after structural relaxation. Values from VASP.

Geometry as Quantum ESPRESSO input:
```
&SYSTEM
  ibrav = 0, nat = 8, ntyp = 4
/
ATOMIC_SPECIES
Pm 145.00 Pm.upf
Cd 112.41 Cd.upf
Te 127.60 Te.upf
As 74.92 As.upf
ATOMIC_POSITIONS angstrom
Pm 1.1816 0.0000 1.6901
Pm -0.0151 2.1659 5.5470
Pm 5.1874 2.1659 1.7644
Pm 3.9907 0.0000 5.6213
Cd -1.2328 0.0000 3.6557
Te 3.8190 0.0000 0.0000
Te 2.5862 2.1659 3.6557
As 0.0000 2.1659 0.0000
CELL_PARAMETERS angstrom
7.6380 0.0000 0.0000
0.0000 4.3318 0.0000
-2.4657 0.0000 7.3114
```

E_form (uncorrected) ... -1.13 eV per atom
Total magnetization ... 0.000 μB/atom

Entry 19:
## Cr2CuTc (GGA-PBE)

Data for Cr2CuTc after structural relaxation. Values from VASP.

Geometry as Quantum ESPRESSO input:
```
&SYSTEM
  ibrav = 0, nat = 4, ntyp = 3
/
ATOMIC_SPECIES
Cr 52.00 Cr.upf
Cu 63.55 Cu.upf
Tc 98.00 Tc.upf
ATOMIC_POSITIONS angstrom
Cr 0.0000 0.0000 6.5054
Cr 0.0000 0.0000 19.4823
Cu 0.0000 0.0000 0.0000
Tc 0.0000 0.0000 12.9938
CELL_PARAMETERS angstrom
1.3067 0.7544 8.6625
-1.3067 0.7544 8.6625
0.0000 -1.5088 8.6625
```

Total magnetization ... 0.033 μB/atom
Energy relative to the elements ... 0.340 eV per atom

Entry 20:
## NaCaMnCd2 (GGA-PBE)

Data for NaCaMnCd2 after structural relaxation. Values from VASP.

Geometry as Quantum ESPRESSO input:
```
&SYSTEM
  ibrav = 0, nat = 5, ntyp = 4
/
ATOMIC_SPECIES
Na 22.99 Na.upf
Ca 40.08 Ca.upf
Mn 54.94 Mn.upf
Cd 112.41 Cd.upf
ATOMIC_POSITIONS angstrom
Na 0.0000 0.0000 0.0000
Ca 2.9428 2.9428 2.8250
Mn 2.9428 2.9428 0.0000
Cd 0.0000 2.9428 2.8250
Cd 2.9428 0.0000 2.8250
CELL_PARAMETERS angstrom
5.8855 0.0000 0.0000
0.0000 5.8855 0.0000
0.0000 0.0000 5.6499
```

Total magnetization ... 0.790 μB/atom
Energy relative to the elements ... 0.782 eV per atom

Entry 21:
## Ca2ZrRh (GGA-PBE)

Data for Ca2ZrRh after structural relaxation. Values from VASP.

Geometry as Quantum ESPRESSO input:
```
&SYSTEM
  ibrav = 0, nat = 4, ntyp = 3
/
ATOMIC_SPECIES
Ca 40.08 Ca.upf
Zr 91.22 Zr.upf
Rh 102.91 Rh.upf
ATOMIC_POSITIONS angstrom
Ca 0.0000 0.0000 7.1847
Ca 0.0000 0.0000 23.4136
Zr 0.0000 0.0000 0.0000
Rh 0.0000 0.0000 15.2992
CELL_PARAMETERS angstrom
1.6726 0.9657 10.1994
-1.6726 0.9657 10.1994
0.0000 -1.9313 10.1994
```

Total magnetization ... 0.122 μB/atom
Energy relative to the elements ... 0.135 eV per atom

Entry 22:
## Cs6SrBr8 (GGA-PBE)

Data for Cs6SrBr8 after structural relaxation. Values from VASP.

Geometry as Quantum ESPRESSO input:
```
&SYSTEM
  ibrav = 0, nat = 15, ntyp = 3
/
ATOMIC_SPECIES
Cs 132.91 Cs.upf
Sr 87.62 Sr.upf
Br 79.90 Br.upf
ATOMIC_POSITIONS angstrom
Cs -4.2232 -0.1810 8.9432
Cs -1.9549 -3.7479 12.4363
Cs 2.2684 -3.5669 8.9432
Cs -2.2684 3.5669 12.4364
Cs 1.9548 3.7479 8.9432
Cs 4.2232 0.1810 12.4363
Sr 0.0000 0.0000 10.6898
Br 0.0000 0.0000 3.3559
Br -1.1889 -2.2545 8.9429
Br -2.5469 -0.0976 12.4367
Br -1.3580 2.1569 8.9429
Br 1.3580 -2.1569 12.4367
Br 2.5469 0.0976 8.9429
Br 1.1889 2.2545 12.4367
Br 0.0000 0.0000 18.0236
CELL_PARAMETERS angstrom
5.3145 3.0683 7.1265
-5.3145 3.0683 7.1265
0.0000 -6.1367 7.1265
```

E_form (uncorrected) ... -1.84 eV per atom
Total magnetization ... 0.018 μB/atom

Entry 23:
## SrMnSiMo2 (GGA-PBE)

Data for SrMnSiMo2 after structural relaxation. Values from VASP.

Geometry as Quantum ESPRESSO input:
```
&SYSTEM
  ibrav = 0, nat = 5, ntyp = 4
/
ATOMIC_SPECIES
Sr 87.62 Sr.upf
Mn 54.94 Mn.upf
Si 28.09 Si.upf
Mo 95.94 Mo.upf
ATOMIC_POSITIONS angstrom
Sr 0.0000 0.0000 0.0000
Mn 0.0000 0.0000 2.3610
Si 2.4142 2.4142 2.3610
Mo 0.0000 2.4142 0.0000
Mo 2.4142 0.0000 0.0000
CELL_PARAMETERS angstrom
4.8284 0.0000 0.0000
0.0000 4.8284 0.0000
0.0000 0.0000 4.7221
```

E_form (uncorrected) ... 2.88 eV per atom
Total magnetization ... 0.643 μB/atom